1.
The following is a DFT calculation (PBE-GGA) of a relaxed KAs crystal.

Values from the calculation:
Fermi-level density of states in states/eV/f.u.: 1.5
Energy above the lowest structure with this stoichiometry in meV per atom: 569
Energy relative to the elements in eV per atom: 0.105

Lattice parameters (Å, degrees): 3.898 3.898 3.898 90.00 90.00 90.00
Space group Pm-3m (No. 221)
One atom of each set of equivalent atoms:
K1 0.000 0.000 0.000 (multiplicity 1)
As1 0.500 0.500 0.500 (multiplicity 1)

=====

2.
The following is a DFT calculation (PBE-GGA) of a relaxed Pm2Nd8Cd crystal.

Values from the calculation:
Fermi-level density of states in states/eV/f.u.: 15.3
Energy relative to the elements in eV per atom: -0.019

Lattice parameters (Å, degrees): 18.466 5.135 8.110 90.00 105.37 90.00
Space group C2/m (No. 12)
One atom of each set of equivalent atoms:
Pm1 0.225 0.000 0.135 (multiplicity 4)
Nd1 0.045 0.000 0.225 (multiplicity 4)
Nd2 0.089 0.500 0.944 (multiplicity 4)
Nd3 0.136 0.000 0.679 (multiplicity 4)
Nd4 0.179 0.500 0.409 (multiplicity 4)
Cd1 0.000 0.500 0.500 (multiplicity 2)